# 1
Entry from Alexandria: crystalline NiPd2Pt2 at its relaxed geometry (GGA-PBE).

The structure belongs to space group R-3m (No. 166, hexagonal axes); the cell edges are 2.7654, 2.7654 and 33.5579 Å and the angles 90.00°, 90.00° and 120.00°. The inequivalent atoms are Ni at (0.0000, 0.0000, 0.0000), Pd at (0.0000, 0.0000, 0.1322) and Pt at (0.0000, 0.0000, 0.3951).

=====

# 2
Entry from Alexandria: crystalline Ni4Pd5Pt2 at its relaxed geometry (GGA-PBE).

The structure belongs to space group Immm (No. 71); the cell edges are 2.7033, 8.1122 and 15.7756 Å and the angles 90.00°, 90.00° and 90.00°. The inequivalent atoms are Ni at (0.0000, 0.0000, 0.1390), Ni at (0.0000, 0.2705, 0.0000), Pd at (0.0000, 0.2915, 0.1804), Pd at (0.0000, 0.5000, 0.5000) and Pt at (0.0000, 0.0000, 0.4175).

=====

Mass density for every record listed, in sequence, given in g/cm3: 14.8 11.1.
ΔE_f for every record listed, in sequence, given in eV/atom: -0.03 0.31.
Energy above the most stable polymorph in this dataset for every record listed, in sequence, given in eV/atom: 0.000 0.308.